[1]
A plane-wave DFT calculation with PBE was carried out for a relaxed In2RuPb crystal.

```
data_In2RuPb
_space_group_name_H-M_alt 'P 4/m m m'
_space_group_IT_number 123
_space_group_name_Hall '-P 4 2'
_cell_length_a 3.2421
_cell_length_b 3.2421
_cell_length_c 8.7550
_cell_angle_alpha 90.00
_cell_angle_beta 90.00
_cell_angle_gamma 90.00
loop_
_atom_site_label
_atom_site_fract_x
_atom_site_fract_y
_atom_site_fract_z
_atom_site_occupancy
In1 0.0000 0.0000 0.1835 1
Ru1 0.5000 0.5000 0.0000 1
Pb1 0.5000 0.5000 0.5000 1
```

Summary:
ΔH_f (0 K) = 0.12 eV/atom

---

[2]
A plane-wave DFT calculation with PBE was carried out for a relaxed InRuPb2 crystal.

```
data_InRuPb2
_space_group_name_H-M_alt 'P 1 2/m 1'
_space_group_IT_number 10
_cell_length_a 3.7167
_cell_length_b 4.5639
_cell_length_c 5.9974
_cell_angle_alpha 90.00
_cell_angle_beta 105.89
_cell_angle_gamma 90.00
loop_
_space_group_symop_operation_xyz
'x,y,z'
'-x,-y,-z'
'-x,y,-z'
'x,-y,z'
loop_
_atom_site_label
_atom_site_fract_x
_atom_site_fract_y
_atom_site_fract_z
_atom_site_occupancy
In1 0.0000 0.0000 0.0000 1
Ru1 0.0000 0.0000 0.5000 1
Pb1 0.3895 0.5000 0.7269 1
```

Summary:
ΔH_f (0 K) = 0.45 eV/atom

---

[3]
A plane-wave DFT calculation with PBE was carried out for a relaxed In4RuPb crystal.

```
data_In4RuPb
_space_group_name_H-M_alt 'F -4 3 m'
_space_group_IT_number 216
_space_group_name_Hall 'F -4 2 3'
_cell_length_a 8.3943
_cell_length_b 8.3943
_cell_length_c 8.3943
_cell_angle_alpha 90.00
_cell_angle_beta 90.00
_cell_angle_gamma 90.00
loop_
_atom_site_label
_atom_site_fract_x
_atom_site_fract_y
_atom_site_fract_z
_atom_site_occupancy
In1 0.1243 0.1243 0.3757 1
Ru1 0.2500 0.2500 0.7500 1
Pb1 0.0000 0.0000 0.0000 1
```

Summary:
ΔH_f (0 K) = 0.57 eV/atom

---

[4]
A plane-wave DFT calculation with PBE was carried out for a relaxed InRuPb2 crystal.

```
data_InRuPb2
_space_group_name_H-M_alt 'P m m m'
_space_group_IT_number 47
_cell_length_a 3.6362
_cell_length_b 5.0545
_cell_length_c 5.1130
_cell_angle_alpha 90.00
_cell_angle_beta 90.00
_cell_angle_gamma 90.00
loop_
_space_group_symop_operation_xyz
'x,y,z'
'-x,-y,-z'
'-x,-y,z'
'x,y,-z'
'x,-y,-z'
'-x,y,z'
'-x,y,-z'
'x,-y,z'
loop_
_atom_site_label
_atom_site_fract_x
_atom_site_fract_y
_atom_site_fract_z
_atom_site_occupancy
In1 0.0000 0.0000 0.0000 1
Ru1 0.5000 0.0000 0.5000 1
Pb1 0.0000 0.5000 0.5000 1
Pb2 0.5000 0.5000 0.0000 1
```

Summary:
ΔH_f (0 K) = 0.56 eV/atom

---

[5]
A plane-wave DFT calculation with PBE was carried out for a relaxed In2RuPb crystal.

```
data_In2RuPb
_space_group_name_H-M_alt 'C m m m'
_space_group_IT_number 65
_space_group_name_Hall '-C 2 2'
_cell_length_a 5.7884
_cell_length_b 8.5947
_cell_length_c 3.5064
_cell_angle_alpha 90.00
_cell_angle_beta 90.00
_cell_angle_gamma 90.00
loop_
_atom_site_label
_atom_site_fract_x
_atom_site_fract_y
_atom_site_fract_z
_atom_site_occupancy
In1 0.2500 0.2500 0.0000 1
Ru1 0.0000 0.0000 0.5000 1
Pb1 0.0000 0.5000 0.5000 1
```

Summary:
ΔH_f (0 K) = 0.44 eV/atom

---

[6]
A plane-wave DFT calculation with PBE was carried out for a relaxed InRuPb2 crystal.

```
data_InRuPb2
_space_group_name_H-M_alt 'C 1 2/m 1'
_space_group_IT_number 12
_cell_length_a 6.2677
_cell_length_b 8.3190
_cell_length_c 3.5863
_cell_angle_alpha 90.00
_cell_angle_beta 90.16
_cell_angle_gamma 90.00
loop_
_space_group_symop_operation_xyz
'x,y,z'
'-x,-y,-z'
'-x,y,-z'
'x,-y,z'
'x+1/2,y+1/2,z'
'-x+1/2,-y+1/2,-z'
'-x+1/2,y+1/2,-z'
'x+1/2,-y+1/2,z'
loop_
_atom_site_label
_atom_site_fract_x
_atom_site_fract_y
_atom_site_fract_z
_atom_site_occupancy
In1 0.0000 0.0000 0.0000 1
Ru1 0.0000 0.5000 0.0000 1
Pb1 0.2500 0.2500 0.5000 1
```

Summary:
ΔH_f (0 K) = 0.54 eV/atom

---

[7]
A plane-wave DFT calculation with PBE was carried out for a relaxed In2RuPb crystal.

```
data_In2RuPb
_space_group_name_H-M_alt 'F -4 3 m'
_space_group_IT_number 216
_space_group_name_Hall 'F -4 2 3'
_cell_length_a 7.0657
_cell_length_b 7.0657
_cell_length_c 7.0657
_cell_angle_alpha 90.00
_cell_angle_beta 90.00
_cell_angle_gamma 90.00
loop_
_atom_site_label
_atom_site_fract_x
_atom_site_fract_y
_atom_site_fract_z
_atom_site_occupancy
In1 0.0000 0.0000 0.0000 1
In2 0.2500 0.2500 0.2500 1
Ru1 0.0000 0.0000 0.5000 1
Pb1 0.2500 0.2500 0.7500 1
```

Summary:
ΔH_f (0 K) = 0.49 eV/atom

---

[8]
A plane-wave DFT calculation with PBE was carried out for a relaxed InRuPb2 crystal.

```
data_InRuPb2
_space_group_name_H-M_alt 'F -4 3 m'
_space_group_IT_number 216
_space_group_name_Hall 'F -4 2 3'
_cell_length_a 7.2138
_cell_length_b 7.2138
_cell_length_c 7.2138
_cell_angle_alpha 90.00
_cell_angle_beta 90.00
_cell_angle_gamma 90.00
loop_
_atom_site_label
_atom_site_fract_x
_atom_site_fract_y
_atom_site_fract_z
_atom_site_occupancy
In1 0.0000 0.0000 0.0000 1
Ru1 0.2500 0.2500 0.2500 1
Pb1 0.0000 0.0000 0.5000 1
Pb2 0.2500 0.2500 0.7500 1
```

Summary:
ΔH_f (0 K) = 0.54 eV/atom

---

[9]
A plane-wave DFT calculation with PBE was carried out for a relaxed InRu2Pb crystal.

```
data_InRu2Pb
_space_group_name_H-M_alt 'P 4 m m'
_space_group_IT_number 99
_cell_length_a 3.0322
_cell_length_b 3.0322
_cell_length_c 8.5402
_cell_angle_alpha 90.00
_cell_angle_beta 90.00
_cell_angle_gamma 90.00
loop_
_space_group_symop_operation_xyz
'x,y,z'
'-y,x,z'
'-x,-y,z'
'y,-x,z'
'-x,y,z'
'y,x,z'
'x,-y,z'
'-y,-x,z'
loop_
_atom_site_label
_atom_site_fract_x
_atom_site_fract_y
_atom_site_fract_z
_atom_site_occupancy
In1 0.0000 0.0000 0.0000 1
Ru1 0.0000 0.0000 0.5972 1
Ru2 0.5000 0.5000 0.7736 1
Pb1 0.5000 0.5000 0.3454 1
```

Summary:
ΔH_f (0 K) = 0.27 eV/atom

---

[10]
A plane-wave DFT calculation with PBE was carried out for a relaxed In2RuPb crystal.

```
data_In2RuPb
_space_group_name_H-M_alt 'C 1 2/m 1'
_space_group_IT_number 12
_cell_length_a 9.0324
_cell_length_b 3.5141
_cell_length_c 6.0622
_cell_angle_alpha 90.00
_cell_angle_beta 103.66
_cell_angle_gamma 90.00
loop_
_space_group_symop_operation_xyz
'x,y,z'
'-x,-y,-z'
'-x,y,-z'
'x,-y,z'
'x+1/2,y+1/2,z'
'-x+1/2,-y+1/2,-z'
'-x+1/2,y+1/2,-z'
'x+1/2,-y+1/2,z'
loop_
_atom_site_label
_atom_site_fract_x
_atom_site_fract_y
_atom_site_fract_z
_atom_site_occupancy
In1 0.2304 0.0000 0.1918 1
Ru1 0.0000 0.5000 0.0000 1
Pb1 0.0000 0.0000 0.5000 1
```

Summary:
ΔH_f (0 K) = 0.31 eV/atom

---

[11]
A plane-wave DFT calculation with PBE was carried out for a relaxed InRu2Pb crystal.

```
data_InRu2Pb
_space_group_name_H-M_alt 'F -4 3 m'
_space_group_IT_number 216
_space_group_name_Hall 'F -4 2 3'
_cell_length_a 6.7135
_cell_length_b 6.7135
_cell_length_c 6.7135
_cell_angle_alpha 90.00
_cell_angle_beta 90.00
_cell_angle_gamma 90.00
loop_
_atom_site_label
_atom_site_fract_x
_atom_site_fract_y
_atom_site_fract_z
_atom_site_occupancy
In1 0.0000 0.0000 0.0000 1
Ru1 0.0000 0.0000 0.5000 1
Ru2 0.2500 0.2500 0.7500 1
Pb1 0.2500 0.2500 0.2500 1
```

Summary:
ΔH_f (0 K) = 0.68 eV/atom

---

[12]
A plane-wave DFT calculation with PBE was carried out for a relaxed In2RuPb crystal.

```
data_In2RuPb
_space_group_name_H-M_alt 'I m m 2'
_space_group_IT_number 44
_cell_length_a 3.1129
_cell_length_b 4.5921
_cell_length_c 13.6610
_cell_angle_alpha 90.00
_cell_angle_beta 90.00
_cell_angle_gamma 90.00
loop_
_space_group_symop_operation_xyz
'x,y,z'
'-x,-y,z'
'-x,y,z'
'x,-y,z'
'x+1/2,y+1/2,z+1/2'
'-x+1/2,-y+1/2,z+1/2'
'-x+1/2,y+1/2,z+1/2'
'x+1/2,-y+1/2,z+1/2'
loop_
_atom_site_label
_atom_site_fract_x
_atom_site_fract_y
_atom_site_fract_z
_atom_site_occupancy
In1 0.0000 0.0000 0.0000 1
In2 0.0000 0.5000 0.1698 1
Ru1 0.0000 0.5000 0.6694 1
Pb1 0.0000 0.0000 0.3497 1
```

Summary:
ΔH_f (0 K) = 0.10 eV/atom

---

[13]
A plane-wave DFT calculation with PBE was carried out for a relaxed In2RuPb crystal.

```
data_In2RuPb
_space_group_name_H-M_alt 'I -4 m 2'
_space_group_IT_number 119
_space_group_name_Hall 'I -4 -2'
_cell_length_a 4.4526
_cell_length_b 4.4526
_cell_length_c 8.7767
_cell_angle_alpha 90.00
_cell_angle_beta 90.00
_cell_angle_gamma 90.00
loop_
_atom_site_label
_atom_site_fract_x
_atom_site_fract_y
_atom_site_fract_z
_atom_site_occupancy
In1 0.0000 0.0000 0.0000 1
In2 0.0000 0.5000 0.2500 1
Ru1 0.0000 0.0000 0.5000 1
Pb1 0.0000 0.5000 0.7500 1
```

Summary:
ΔH_f (0 K) = 0.41 eV/atom

---

[14]
A plane-wave DFT calculation with PBE was carried out for a relaxed In2RuPb crystal.

```
data_In2RuPb
_space_group_name_H-M_alt 'P 1 2/m 1'
_space_group_IT_number 10
_cell_length_a 3.5988
_cell_length_b 4.8054
_cell_length_c 5.5472
_cell_angle_alpha 90.00
_cell_angle_beta 106.61
_cell_angle_gamma 90.00
loop_
_space_group_symop_operation_xyz
'x,y,z'
'-x,-y,-z'
'-x,y,-z'
'x,-y,z'
loop_
_atom_site_label
_atom_site_fract_x
_atom_site_fract_y
_atom_site_fract_z
_atom_site_occupancy
In1 0.1515 0.0000 0.2781 1
Ru1 0.5000 0.5000 0.5000 1
Pb1 0.5000 0.5000 0.0000 1
```

Summary:
ΔH_f (0 K) = 0.32 eV/atom

---

[15]
A plane-wave DFT calculation with PBE was carried out for a relaxed InRu2Pb crystal.

```
data_InRu2Pb
_space_group_name_H-M_alt 'C 1 m 1'
_space_group_IT_number 8
_cell_length_a 10.2590
_cell_length_b 3.1036
_cell_length_c 4.8621
_cell_angle_alpha 90.00
_cell_angle_beta 110.39
_cell_angle_gamma 90.00
loop_
_space_group_symop_operation_xyz
'x,y,z'
'x,-y,z'
'x+1/2,y+1/2,z'
'x+1/2,-y+1/2,z'
loop_
_atom_site_label
_atom_site_fract_x
_atom_site_fract_y
_atom_site_fract_z
_atom_site_occupancy
In1 0.0000 0.0000 0.0000 1
Ru1 0.0332 0.5000 0.5124 1
Ru2 0.2468 0.0000 0.8829 1
Pb1 0.2799 0.5000 0.3922 1
```

Summary:
ΔH_f (0 K) = 0.34 eV/atom